BaErSb2Au2 after structural relaxation, computed with GGA-PBE.

a = 4.754 Å, b = 4.754 Å, c = 8.537 Å
α = 90.00°, β = 90.00°, γ = 120.00°
Atoms (fractional coordinates):
Ba: 0.000 0.000 0.000
Er: 0.000 0.000 0.500
Sb: 0.667 0.333 0.268
Sb: 0.333 0.667 0.732
Au: 0.667 0.333 0.673
Au: 0.333 0.667 0.327

Properties
Fermi-level density of states	2.749	states/eV per cell
formation energy from raw total energies	-0.82	eV per atom
space-group type	P-3m1 (164)